Entry 1:
Tb2Pr7Nd3 | GGA-PBE | relaxed

```
Tb2Pr7Nd3
1.0
-1.855 3.124 0.375
-3.407 -2.535 4.269
13.236 6.328 12.771
Nd Pr Tb
3 7 2
direct
0.500 0.500 0.000
0.000 0.781 0.634
0.000 0.219 0.366
0.000 0.317 0.854
0.000 0.683 0.146
0.500 0.815 0.818
0.500 0.743 0.464
0.500 0.185 0.182
0.500 0.257 0.536
0.000 0.000 0.000
0.500 0.710 0.296
0.500 0.290 0.704
```

## Properties
- energy (eV/cell) = -55.99
- ΔE_f (eV/atom) = 0.09
- excess energy over the best structure of this formula in the dataset (eV per atom) = 0.015
- symmetry = P2/m (10)
- size of the total moment (μB/atom) = 0.000

Entry 2:
CaNdSm | GGA-PBE | relaxed

```
CaNdSm
1.0
-0.059 2.813 2.331
-0.049 -2.368 2.856
16.480 -1.337 -0.831
Sm Ca Nd
2 2 2
direct
0.789 0.750 0.579
0.211 0.250 0.421
0.950 0.751 0.899
0.050 0.249 0.101
0.365 0.251 0.730
0.635 0.749 0.270
```

## Properties
- energy (eV/cell) = -22.62
- ΔE_f (eV/atom) = 0.06
- excess energy over the best structure of this formula in the dataset (eV per atom) = 0.031
- symmetry = C2/m (12)
- size of the total moment (μB/atom) = 0.000